No. 1
First-principles (PBE) data for crystalline Li2NpTlI6 at its relaxed geometry, as listed in Alexandria via LeMat-Bulk.

Cell: 7.891 7.890 8.579 Å, 62.62 62.61 60.00°
Each line ends with the local moment (μB).
Fractional coordinates of all 10 atoms:
I: 0.745 0.156 0.749  -0.02
I: 0.258 0.905 0.237  -0.02
I: 0.351 0.745 0.749  -0.02
I: 0.600 0.258 0.237  -0.02
I: 0.156 0.351 0.749  -0.02
I: 0.905 0.600 0.237  -0.02
Np: 0.324 0.324 0.029  4.00
Tl: 0.810 0.810 0.570  0.00
Li: 0.509 0.509 0.472  0.00
Li: 0.005 0.005 0.986  0.00

- E_tot (eV/f.u.) = -37.7
- symmetry = No. 146
- D(E_F) (states/eV per cell) = 4.4

No. 2
First-principles (PBE) data for crystalline Li2NpTlI8 at its relaxed geometry, as listed in Alexandria via LeMat-Bulk.

Cell: 7.517 7.173 9.875 Å, 89.47 89.11 81.55°
Each line ends with the local moment (μB).
Fractional coordinates of all 12 atoms:
I: 0.817 0.252 0.788  -0.10
I: 0.330 0.290 0.495  -0.05
I: 0.183 0.748 0.212  -0.10
I: 0.183 0.749 0.787  -0.10
I: 0.817 0.251 0.213  -0.10
I: 0.670 0.710 0.505  -0.05
I: 0.293 0.220 0.995  -0.14
I: 0.707 0.780 0.005  -0.14
Np: 0.000 0.000 0.000  3.01
Li: 0.496 0.491 0.668  0.00
Li: 0.504 0.509 0.332  0.00
Tl: 0.000 0.000 0.500  -0.02

- E_tot (eV/f.u.) = -40.8
- symmetry = No. 2
- D(E_F) (states/eV per cell) = 10.3

No. 3
First-principles (PBE) data for crystalline LiNpTlI5 at its relaxed geometry, as listed in Alexandria via LeMat-Bulk.

Cell: 8.496 8.496 11.385 Å, 103.63 103.63 107.42°
Each line ends with the local moment (μB).
Fractional coordinates of all 16 atoms:
Np: 0.000 0.000 0.000  4.01
Np: 0.000 0.000 0.500  4.01
Li: 0.691 0.309 0.250  0.00
Li: 0.309 0.691 0.750  0.00
I: 0.068 0.670 0.877  -0.02
I: 0.905 0.095 0.750  -0.04
I: 0.095 0.905 0.250  -0.04
I: 0.330 0.932 0.623  -0.02
I: 0.750 0.616 0.444  -0.02
I: 0.250 0.384 0.556  -0.02
I: 0.932 0.330 0.123  -0.02
I: 0.670 0.068 0.377  -0.02
I: 0.384 0.250 0.056  -0.02
I: 0.616 0.750 0.944  -0.02
Tl: 0.630 0.370 0.750  0.00
Tl: 0.370 0.630 0.250  0.00

- E_tot (eV/f.u.) = -32.0
- symmetry = No. 15
- D(E_F) (states/eV per cell) = 9.7